First-principles (PBE-GGA) data for a relaxed Mg4FeRh crystal, as listed in the Alexandria database.

Unit cell a=7.573 b=7.573 c=7.573 alpha=90.00 beta=90.00 gamma=90.00
Space group F-43m (No. 216)
Inequivalent atoms, fractional coordinates:
Mg1 0.125 0.125 0.125 (multiplicity 16)
Fe1 0.000 0.000 0.500 (multiplicity 4)
Rh1 0.250 0.250 0.750 (multiplicity 4)

Values from the calculation:
The value obtained for the total energy is -19.8 eV/f.u. Its total moment is 3.36 μB/f.u. The crystal system is cubic.